The following is a DFT calculation (PBEsol) of a relaxed LiInSi2O6 crystal.

Results
The value obtained for the volume is 226 Å³ per cell. The calculation puts the uncorrected energy at -7.237 eV per atom. The calculation puts the total moment at 0.0 μB/cell. As for the density of states at the Fermi level: 0.00 states/eV per atom. The space-group type is C2/c. The calculation puts the formation energy from raw total energies at -2.4431 eV/atom.

Unit cell a=5.4064 b=6.6923 c=6.6923 alpha=85.79 beta=75.17 gamma=75.17
Positions (direct):
Li  0.7500  0.2420  0.7580
Li  0.2500  0.7580  0.2420
O  0.8359  0.2052  0.0393
O  0.9565  0.3754  0.3342
O  0.3715  0.3826  0.8708
O  0.5435  0.6658  0.6246
O  0.6641  0.9607  0.7948
O  0.1641  0.7948  0.9607
O  0.6285  0.6174  0.1292
O  0.4565  0.3342  0.3754
O  0.1285  0.1292  0.6174
O  0.3359  0.0393  0.2052
O  0.0435  0.6246  0.6658
O  0.8715  0.8708  0.3826
Si  0.2803  0.6125  0.7825
Si  0.7197  0.3875  0.2175
Si  0.2197  0.2175  0.3875
Si  0.7803  0.7825  0.6125
In  0.7500  0.8922  0.1078
In  0.2500  0.1078  0.8922



The following is a DFT calculation (PBEsol) of a relaxed AlCr2Fe crystal.

Results
The value obtained for the volume is 45 Å³ per cell. The calculation puts the uncorrected energy at -8.531 eV per atom. For the formation enthalpy at 0 K, the calculation gives -0.15 eV per atom. The relative energy among the computed polymorphs comes out at 0.0 meV/atom. The calculation puts the total moment at 0.0 μB/cell. As for the density of states at the Fermi level: 0.61 states/eV per atom. The space-group type is Immm.

Unit cell a=2.8366 b=3.8784 c=4.7323 alpha=114.19 beta=107.44 gamma=90.00
Positions (direct):
Cr  0.7418  0.7418  0.4837
Cr  0.2582  0.2582  0.5163
Al  0.5000  0.0000  0.0000
Fe  0.0000  0.5000  0.0000



The following is a DFT calculation (PBEsol) of a relaxed Li6V3P8O29 crystal.

Results
The value obtained for the volume is 1145 Å³ per cell. The calculation puts the uncorrected energy at -7.486 eV per atom. The relative energy among the computed polymorphs comes out at 4.2 meV/atom. The calculation puts the total moment at 6.0 μB/cell. As for the density of states at the Fermi level: 0.39 states/eV per atom. The space-group type is P3c1. The calculation puts the formation energy from raw total energies at -2.2846 eV/atom.

Unit cell a=9.7345 b=9.7345 c=13.9508 alpha=90.00 beta=90.00 gamma=120.00
Positions (direct):
P  0.3423  0.1020  0.6544
P  0.0000  0.0000  0.8788
P  0.3333  0.6667  0.6371
P  0.3423  0.2402  0.1544
P  0.4463  0.4182  0.3358
P  0.5818  0.5537  0.8358
P  0.8980  0.2402  0.6544
P  0.4463  0.0281  0.8358
P  0.8980  0.6577  0.1544
P  0.5818  0.0281  0.3358
P  0.7598  0.6577  0.6544
P  0.7598  0.1020  0.1544
P  0.9719  0.5537  0.3358
P  0.0000  0.0000  0.3788
P  0.9719  0.4182  0.8358
P  0.3333  0.6667  0.1371
O  0.5777  0.9840  0.8441
O  0.6332  0.0974  0.2294
O  0.4032  0.1014  0.5572
O  0.0000  0.0000  0.9864
O  0.6332  0.5359  0.7294
O  0.4063  0.4223  0.8441
O  0.3073  0.5087  0.6811
O  0.9026  0.3668  0.7294
O  0.1747  0.2156  0.1774
O  0.0000  0.0000  0.4864
O  0.7482  0.0811  0.6775
O  0.6824  0.5298  0.9073
O  0.3329  0.2518  0.6775
O  0.8537  0.0072  0.8390
O  0.7844  0.8253  0.6774
O  0.2013  0.5087  0.1811
O  0.5777  0.5937  0.3441
O  0.9189  0.6671  0.6775
O  0.1273  0.7150  0.3392
O  0.0160  0.5937  0.8441
O  0.4641  0.3668  0.2294
O  0.4702  0.3176  0.4073
O  0.4913  0.7987  0.6811
O  0.3329  0.0811  0.1775
O  0.4063  0.9840  0.3441
O  0.1273  0.4122  0.8392
O  0.3333  0.6667  0.0308
O  0.5878  0.7150  0.8392
O  0.6982  0.1014  0.0572
O  0.0160  0.4223  0.3441
O  0.3073  0.7987  0.1811
O  0.0409  0.8253  0.1774
O  0.7482  0.6671  0.1775
O  0.6982  0.5968  0.5572
O  0.1535  0.0072  0.3390
O  0.1747  0.9591  0.6774
O  0.9928  0.8465  0.8390
O  0.8986  0.3018  0.5572
O  0.7844  0.9591  0.1774
O  0.9189  0.2518  0.1775
O  0.6824  0.1527  0.4073
O  0.8473  0.3176  0.9073
O  0.0409  0.2156  0.6774
O  0.9026  0.5359  0.2294
O  0.2013  0.6927  0.6811
O  0.2850  0.8727  0.8392
O  0.2850  0.4122  0.3392
O  0.5878  0.8727  0.3392
O  0.9928  0.1463  0.3390
O  0.8537  0.8465  0.3390
O  0.4032  0.3018  0.0572
O  0.4641  0.0974  0.7294
O  0.4913  0.6927  0.1811
O  0.4702  0.1527  0.9073
O  0.3333  0.6667  0.5308
O  0.1535  0.1463  0.8390
O  0.8986  0.5968  0.0572
O  0.8473  0.5298  0.4073
Li  0.0000  0.0000  0.6187
Li  0.7602  0.0970  0.9329
Li  0.6667  0.3333  0.9666
Li  0.3333  0.6667  0.4011
Li  0.3333  0.6667  0.9011
Li  0.9030  0.2398  0.4329
Li  0.0000  0.0000  0.1187
Li  0.3368  0.0970  0.4329
Li  0.9030  0.6632  0.9329
Li  0.3368  0.2398  0.9329
Li  0.6667  0.3333  0.4666
Li  0.7602  0.6632  0.4329
V  0.2297  0.3292  0.7543
V  0.0995  0.3292  0.2543
V  0.0995  0.7703  0.7543
V  0.6708  0.9005  0.7543
V  0.6708  0.7703  0.2543
V  0.2297  0.9005  0.2543



The following is a DFT calculation (PBEsol) of a relaxed SiMoPCl2 crystal.

Results
The value obtained for the volume is 97 Å³ per cell. The calculation puts the uncorrected energy at -4.735 eV per atom. The calculation puts the total moment at 4.0 μB/cell. As for the density of states at the Fermi level: 0.67 states/eV per atom. The space-group type is P4/mmm. The calculation puts the formation energy from raw total energies at 0.7292 eV/atom.

Unit cell a=4.4822 b=4.4822 c=4.8433 alpha=90.00 beta=90.00 gamma=90.00
Positions (direct):
Si  0.0000  0.0000  0.0000
Cl  0.5000  0.0000  0.0000
Cl  0.0000  0.5000  0.0000
Mo  0.5000  0.5000  0.5000
P  0.0000  0.0000  0.5000